Entry 1:
Below is a relaxed structure of Mg3TaPt12, with properties calculated at the PBE level.

Lattice parameters (Å, degrees): 3.9723 3.9723 15.8559 90.00 90.00 90.00
Last column: nearest neighbours and their distance in Å.
Fractional positions:
Pt 0.0000 0.5000 0.3755  4 Mg 2.78-2.80, 8 Pt 2.80-2.81
Pt 0.5000 0.5000 0.7500  4 Mg 2.81, 8 Pt 2.81-2.83
Pt 0.5000 0.0000 0.3755  4 Mg 2.78-2.80, 8 Pt 2.80-2.81
Pt 0.0000 0.5000 0.6245  4 Mg 2.78-2.80, 8 Pt 2.80-2.81
Pt 0.5000 0.5000 0.5000  8 Pt 2.80, 4 Mg 2.81
Pt 0.5000 0.0000 0.1230  2 Ta 2.78, 8 Pt 2.78-2.83, 2 Mg 2.86
Pt 0.5000 0.5000 0.2500  4 Mg 2.81, 8 Pt 2.81-2.83
Pt 0.0000 0.5000 0.8770  8 Pt 2.78-2.83, 2 Ta 2.78, 2 Mg 2.86
Pt 0.0000 0.5000 0.1230  2 Ta 2.78, 8 Pt 2.78-2.83, 2 Mg 2.86
Pt 0.5000 0.5000 0.0000  8 Pt 2.78, 4 Ta 2.81
Pt 0.5000 0.0000 0.6245  4 Mg 2.78-2.80, 8 Pt 2.80-2.81
Pt 0.5000 0.0000 0.8770  2 Ta 2.78, 8 Pt 2.78-2.83, 2 Mg 2.86
Ta 0.0000 0.0000 0.0000  12 Pt 2.78-2.81
Mg 0.0000 0.0000 0.2530  12 Pt 2.78-2.86
Mg 0.0000 0.0000 0.7470  12 Pt 2.78-2.86
Mg 0.0000 0.0000 0.5000  12 Pt 2.80-2.81

Its total energy is -6.24 eV per atom. As for the symmetry: No. 123. For the formation enthalpy at 0 K, the calculation gives -10.635 eV per formula unit.

Entry 2:
Below is a relaxed structure of MgTa2Pt, with properties calculated at the PBE level.

Lattice parameters (Å, degrees): 5.1884 5.1884 5.1884 134.71 134.71 65.99
Last column: nearest neighbours and their distance in Å.
Fractional positions:
Ta 0.0000 0.0000 0.0000  4 Mg 2.83, 4 Ta 2.95, 4 Pt 2.95
Ta 0.2500 0.7500 0.5000  4 Pt 2.83, 4 Mg 2.95, 4 Ta 2.95
Pt 0.7500 0.2500 0.5000  8 Ta 2.83-2.95, 4 Mg 2.95
Mg 0.5000 0.5000 0.0000  8 Ta 2.83-2.95, 4 Pt 2.95

Its total energy is -7.89 eV per atom. As for the symmetry: No. 119. For the formation enthalpy at 0 K, the calculation gives -0.232 eV per formula unit.

Entry 3:
Below is a relaxed structure of Mg4TaPt, with properties calculated at the PBE level.

Lattice parameters (Å, degrees): 5.4126 5.4126 5.4126 60.00 60.00 60.00
Last column: nearest neighbours and their distance in Å.
Fractional positions:
Mg 0.8748 0.3751 0.3751  6 Mg 2.71
Mg 0.3751 0.8748 0.3751  6 Mg 2.71
Mg 0.3751 0.3751 0.3751  6 Mg 2.71
Mg 0.3751 0.3751 0.8748  6 Mg 2.71
Ta 0.0000 0.0000 0.0000  12 Mg 3.17, 4 Pt 3.31
Pt 0.7500 0.7500 0.7500  12 Mg 3.17, 4 Ta 3.31

Its total energy is -3.68 eV per atom. As for the symmetry: No. 216. For the formation enthalpy at 0 K, the calculation gives 2.203 eV per formula unit.

Entry 4:
Below is a relaxed structure of Mg2Ta2Pt, with properties calculated at the PBE level.

Lattice parameters (Å, degrees): 6.4408 6.4408 4.3173 90.00 90.00 90.00
Last column: nearest neighbours and their distance in Å.
Fractional positions:
Mg 0.6433 0.1433 0.0000  2 Pt 2.48, 1 Mg 2.61
Mg 0.8567 0.6433 0.0000  2 Pt 2.48, 1 Mg 2.61
Mg 0.3567 0.8567 0.0000  2 Pt 2.48, 1 Mg 2.61
Mg 0.1433 0.3567 0.0000  2 Pt 2.48, 1 Mg 2.61
Ta 0.1570 0.6570 0.5000  6 Mg 2.82-2.90, 1 Ta 2.86
Ta 0.3430 0.1570 0.5000  6 Mg 2.82-2.90, 1 Ta 2.86
Ta 0.8430 0.3430 0.5000  6 Mg 2.82-2.90, 1 Ta 2.86
Ta 0.6570 0.8430 0.5000  6 Mg 2.82-2.90, 1 Ta 2.86
Pt 0.5000 0.5000 0.0000  4 Mg 2.48
Pt 0.0000 0.0000 0.0000  4 Mg 2.48

Its total energy is -6.28 eV per atom. As for the symmetry: No. 127. As for the energy above the most stable polymorph in this dataset: 0 meV/atom. For the formation enthalpy at 0 K, the calculation gives 1.556 eV per formula unit.

Entry 5:
Below is a relaxed structure of MgTaZnPt, with properties calculated at the PBE level.

Lattice parameters (Å, degrees): 4.5310 4.5310 4.5310 60.00 60.00 60.00
Last column: nearest neighbours and their distance in Å.
Fractional positions:
Pt 0.7500 0.7500 0.7500  4 Mg 2.77, 4 Ta 2.77
Mg 0.0000 0.0000 0.0000  4 Pt 2.77, 4 Zn 2.77
Zn 0.2500 0.2500 0.2500  4 Ta 2.77, 4 Mg 2.77
Ta 0.5000 0.5000 0.5000  4 Pt 2.77, 4 Zn 2.77

Its total energy is -5.51 eV per atom. As for the symmetry: No. 216. For the formation enthalpy at 0 K, the calculation gives -1.288 eV per formula unit.

Entry 6:
Below is a relaxed structure of Tb3Mg4Pt4, with properties calculated at the PBE level.

Lattice parameters (Å, degrees): 3.9163 8.0087 8.6578 117.55 103.07 90.00
Last column: nearest neighbours and their distance in Å.
Fractional positions:
Pt 0.5000 0.2032 0.0000  2 Mg 2.70
Pt 0.2378 0.7378 0.4756  6 Mg 2.67-2.80, 2 Tb 2.96
Pt 0.5000 0.7968 0.0000  2 Mg 2.70
Pt 0.7622 0.2622 0.5244  6 Mg 2.67-2.80, 2 Tb 2.96
Tb 0.0000 0.5000 0.0000  4 Pt 3.08
Tb 0.1128 0.1128 0.2256  6 Pt 2.96-3.05, 4 Mg 3.28
Tb 0.8872 0.8872 0.7744  6 Pt 2.96-3.05, 4 Mg 3.28
Mg 0.3268 0.1349 0.6536  4 Pt 2.67-2.80
Mg 0.3268 0.5187 0.6536  4 Pt 2.67-2.80
Mg 0.6732 0.4813 0.3464  4 Pt 2.67-2.80
Mg 0.6732 0.8651 0.3464  4 Pt 2.67-2.80

Its total energy is -4.96 eV per atom. As for the symmetry: No. 71. For the formation enthalpy at 0 K, the calculation gives -10.099 eV per formula unit.

Entry 7:
Below is a relaxed structure of TbMg2Pt2, with properties calculated at the PBE level.

Lattice parameters (Å, degrees): 4.7400 5.1016 8.4806 101.17 90.00 90.00
Last column: nearest neighbours and their distance in Å.
Fractional positions:
Mg 0.2500 0.3592 0.4687  4 Pt 2.68-2.70, 2 Mg 2.77
Mg 0.2500 0.7070 0.8352  4 Pt 2.60-2.79
Mg 0.7500 0.2930 0.1648  4 Pt 2.60-2.79
Mg 0.7500 0.6408 0.5313  4 Pt 2.68-2.70, 2 Mg 2.77
Tb 0.2500 0.8311 0.2126  7 Pt 2.99-3.19, 2 Mg 3.12-3.14
Tb 0.7500 0.1689 0.7874  7 Pt 2.99-3.19, 2 Mg 3.12-3.14
Pt 0.2500 0.8937 0.5704  5 Mg 2.60-2.70
Pt 0.7500 0.1063 0.4296  5 Mg 2.60-2.70
Pt 0.2500 0.2880 0.0038  4 Mg 2.73-3.03, 3 Tb 2.99
Pt 0.7500 0.7120 0.9962  4 Mg 2.73-3.03, 3 Tb 2.99

Its total energy is -4.85 eV per atom. As for the symmetry: No. 11. For the formation enthalpy at 0 K, the calculation gives -4.344 eV per formula unit.

Entry 8:
Below is a relaxed structure of TbMg4Pt5, with properties calculated at the PBE level.

Lattice parameters (Å, degrees): 3.3242 3.3242 15.5323 90.00 90.00 90.00
Last column: nearest neighbours and their distance in Å.
Fractional positions:
Mg 0.0000 0.0000 0.4050  8 Pt 2.78-2.79, 2 Mg 2.95-2.97
Mg 0.0000 0.0000 0.5950  8 Pt 2.78-2.79, 2 Mg 2.95-2.97
Mg 0.0000 0.0000 0.7862  8 Pt 2.77-2.79, 1 Mg 2.97
Mg 0.0000 0.0000 0.2138  8 Pt 2.77-2.79, 1 Mg 2.97
Tb 0.0000 0.0000 0.0000  8 Pt 2.97, 2 Mg 3.32
Pt 0.5000 0.5000 0.3085  8 Mg 2.77-2.79, 2 Pt 2.97-2.98
Pt 0.5000 0.5000 0.8836  4 Mg 2.79, 4 Tb 2.97, 1 Pt 2.98
Pt 0.5000 0.5000 0.6915  8 Mg 2.77-2.79, 2 Pt 2.97-2.98
Pt 0.5000 0.5000 0.5000  8 Mg 2.78, 2 Pt 2.97
Pt 0.5000 0.5000 0.1164  4 Mg 2.79, 4 Tb 2.97, 1 Pt 2.98

Its total energy is -5.02 eV per atom. As for the symmetry: No. 123. For the formation enthalpy at 0 K, the calculation gives -9.025 eV per formula unit.

Entry 9:
Below is a relaxed structure of Tb3MgPt12, with properties calculated at the PBE level.

Lattice parameters (Å, degrees): 4.1020 4.1020 16.2539 90.00 90.00 90.00
Last column: nearest neighbours and their distance in Å.
Fractional positions:
Tb 0.0000 0.0000 0.7555  12 Pt 2.90-2.93
Tb 0.0000 0.0000 0.5000  12 Pt 2.90-2.92
Tb 0.0000 0.0000 0.2445  12 Pt 2.90-2.93
Pt 0.5000 0.5000 0.5000  4 Tb 2.90, 8 Pt 2.92
Pt 0.5000 0.0000 0.8841  8 Pt 2.79-2.92, 2 Mg 2.79, 2 Tb 2.93
Pt 0.5000 0.0000 0.6278  8 Pt 2.90-2.92, 4 Tb 2.92
Pt 0.0000 0.5000 0.1159  2 Mg 2.79, 8 Pt 2.79-2.92, 2 Tb 2.93
Pt 0.0000 0.5000 0.8841  2 Mg 2.79, 8 Pt 2.79-2.92, 2 Tb 2.93
Pt 0.5000 0.5000 0.0000  8 Pt 2.79, 4 Mg 2.90
Pt 0.5000 0.5000 0.7559  4 Tb 2.90, 8 Pt 2.92
Pt 0.5000 0.0000 0.1159  8 Pt 2.79-2.92, 2 Mg 2.79, 2 Tb 2.93
Pt 0.5000 0.0000 0.3722  8 Pt 2.90-2.92, 4 Tb 2.92
Pt 0.5000 0.5000 0.2441  4 Tb 2.90, 8 Pt 2.92
Pt 0.0000 0.5000 0.3722  8 Pt 2.90-2.92, 4 Tb 2.92
Pt 0.0000 0.5000 0.6278  8 Pt 2.90-2.92, 4 Tb 2.92
Mg 0.0000 0.0000 0.0000  12 Pt 2.79-2.90

Its total energy is -6.40 eV per atom. As for the symmetry: No. 123. For the formation enthalpy at 0 K, the calculation gives -14.458 eV per formula unit.

Entry 10:
Below is a relaxed structure of Tb2Mg3Pt4, with properties calculated at the PBE level.

Lattice parameters (Å, degrees): 7.1556 7.3148 7.2908 90.00 90.00 110.23
Last column: nearest neighbours and their distance in Å.
Fractional positions:
Tb 0.5557 0.1911 0.3256  7 Pt 2.86-3.17
Tb 0.4443 0.8089 0.6744  7 Pt 2.86-3.17
Tb 0.0557 0.1911 0.1744  7 Pt 2.86-3.17
Tb 0.9443 0.8089 0.8256  7 Pt 2.86-3.17
Pt 0.6361 0.5114 0.6365  5 Mg 2.68-2.82, 1 Pt 2.75, 2 Tb 2.86-2.96
Pt 0.3444 0.0755 0.9616  4 Mg 2.72-2.93, 1 Pt 2.86, 3 Tb 2.93-3.03
Pt 0.8444 0.0755 0.5384  4 Mg 2.72-2.93, 1 Pt 2.86, 3 Tb 2.93-3.03
Pt 0.8639 0.4886 0.1365  5 Mg 2.68-2.82, 1 Pt 2.75, 2 Tb 2.86-2.96
Pt 0.3639 0.4886 0.3635  5 Mg 2.68-2.82, 1 Pt 2.75, 2 Tb 2.86-2.96
Pt 0.1556 0.9245 0.4616  4 Mg 2.72-2.93, 1 Pt 2.86, 3 Tb 2.93-3.03
Pt 0.6556 0.9245 0.0384  4 Mg 2.72-2.93, 1 Pt 2.86, 3 Tb 2.93-3.03
Pt 0.1361 0.5114 0.8635  5 Mg 2.68-2.82, 1 Pt 2.75, 2 Tb 2.86-2.96
Mg 0.7542 0.7454 0.3311  6 Pt 2.68-2.88
Mg 0.2458 0.2546 0.6689  6 Pt 2.68-2.88
Mg 0.2542 0.7454 0.1689  6 Pt 2.68-2.88
Mg 0.7458 0.2546 0.8311  6 Pt 2.68-2.88
Mg 0.0000 0.5000 0.5000  6 Pt 2.81-2.93
Mg 0.5000 0.5000 0.0000  6 Pt 2.81-2.93

Its total energy is -5.24 eV per atom. As for the symmetry: No. 14. For the formation enthalpy at 0 K, the calculation gives -8.914 eV per formula unit.

- The highest formation enthalpy at 0 K belongs to which entry?
  Mg4TaPt

- Which of these has the lowest formation enthalpy at 0 K?
  Tb3MgPt12